The following is a PBE calculation of an optimized crystal structure of Li2LaCu2, from the Alexandria database.

POSCAR file:
```
Li2LaCu2
1.0
-1.9852 1.9852 6.2145
1.9852 -1.9852 6.2145
1.9852 1.9852 -6.2145
Li La Cu
2 1 2
Cartesian
1.9852 0.0000 3.1072 Li
0.0000 1.9852 3.1072 Li
0.0000 0.0000 0.0000 La
0.0000 0.0000 4.9487 Cu
0.0000 0.0000 7.4803 Cu
```

Output
Polymorph energy (0 for the lowest one) = 15.2 meV/atom
Energy of formation = -0.10 eV per atom
Fermi-level density of states = 3.8 states/eV/cell